DFT (GGA-PBE) results for Rb3Dy2PuSe6 after structural relaxation.

a = 7.4135 Å, b = 7.4135 Å, c = 8.3490 Å
α = 98.51°, β = 98.51°, γ = 120.00°
With the nearest neighbours (Å) after each atom.
Atoms (fractional coordinates):
Rb 0.0000 0.0000 0.0000  6 Se 3.44-3.48
Rb 0.3335 0.6665 0.0000  6 Se 3.45-3.48
Rb 0.6665 0.3335 0.0000  6 Se 3.45-3.48
Dy 0.1667 0.8333 0.5000  6 Se 2.91
Dy 0.8333 0.1667 0.5000  6 Se 2.91
Pu 0.5000 0.5000 0.5000  6 Se 2.95
Se 0.0974 0.4349 0.3047  2 Dy 2.91, 1 Pu 2.95
Se 0.2276 0.2276 0.6953  2 Dy 2.91, 1 Pu 2.95
Se 0.4349 0.0974 0.3047  2 Dy 2.91, 1 Pu 2.95
Se 0.5651 0.9026 0.6953  2 Dy 2.91, 1 Pu 2.95
Se 0.7724 0.7724 0.3047  2 Dy 2.91, 1 Pu 2.95
Se 0.9026 0.5651 0.6953  2 Dy 2.91, 1 Pu 2.95

Summary:
- E_tot: -66.9 eV/f.u.
- Volume: 31.63 Å³ per atom
- Energy relative to the elements, uncorrected: -1.626 eV per atom
- DOS at the Fermi energy: 12.83 states/eV/cell